Below is a relaxed structure of TaCoCu2, with properties calculated at the GGA-PBE level.

- DFT formation energy: 136 meV per atom
- Energy above the most stable polymorph in this dataset: 111 meV per atom

Structure (CIF):
```
data_TaCoCu2
_chemical_formula_sum 'Ta1 Co1 Cu2'
_cell_length_a 3.5149
_cell_length_b 3.5149
_cell_length_c 4.2752
_cell_angle_alpha 90.00
_cell_angle_beta 90.00
_cell_angle_gamma 90.00
_space_group_name_H-M_alt 'P 4/m m m'
_space_group_IT_number 123
_space_group_name_Hall '-P 4 2'
loop_
_atom_site_label
_atom_site_type_symbol
_atom_site_fract_x
_atom_site_fract_y
_atom_site_fract_z
Ta1 Ta 0.0000 0.0000 0.0000
Co1 Co 0.5000 0.5000 0.0000
Cu1 Cu 0.0000 0.5000 0.5000
```